# CrGaI2O

A geometry-optimized CrGaI2O structure (GGA-PBEsol, Alexandria).

```
data_CrGaI2O
_chemical_formula_sum 'Cr1 Ga1 I2 O1'
_cell_length_a 3.6286
_cell_length_b 5.6405
_cell_length_c 5.6405
_cell_angle_alpha 90.00
_cell_angle_beta 90.00
_cell_angle_gamma 90.00
_symmetry_space_group_name_H-M 'P 1'
_symmetry_Int_Tables_number 1
_symmetry_space_group_name_Hall 'P 1'
loop_
_atom_site_label
_atom_site_type_symbol
_atom_site_fract_x
_atom_site_fract_y
_atom_site_fract_z
_atom_site_occupancy
I1 I 0.0000 0.0000 0.5000 1
I2 I 0.0000 0.5000 0.0000 1
Cr1 Cr 0.0000 0.0000 0.0000 1
O1 O 0.5000 0.0000 0.0000 1
Ga1 Ga 0.5000 0.5000 0.5000 1
```

Computed properties:
For the density of states at the Fermi level, the calculation gives 1.068 states/eV/f.u. As for the space group: No. 123. The uncorrected formation energy comes out at -0.5880 eV per atom.


# YCr2GaI

A geometry-optimized YCr2GaI structure (GGA-PBEsol, Alexandria).

```
data_YCr2GaI
_chemical_formula_sum 'Y1 Cr2 Ga1 I1'
_cell_length_a 5.2728
_cell_length_b 5.2728
_cell_length_c 5.6804
_cell_angle_alpha 90.00
_cell_angle_beta 90.00
_cell_angle_gamma 90.00
_symmetry_space_group_name_H-M 'P 1'
_symmetry_Int_Tables_number 1
_symmetry_space_group_name_Hall 'P 1'
loop_
_atom_site_label
_atom_site_type_symbol
_atom_site_fract_x
_atom_site_fract_y
_atom_site_fract_z
_atom_site_occupancy
I1 I 0.0000 0.0000 0.5000 1
Y1 Y 0.0000 0.0000 0.0000 1
Ga1 Ga 0.5000 0.5000 0.5000 1
Cr1 Cr 0.0000 0.5000 0.0000 1
Cr2 Cr 0.5000 0.0000 0.0000 1
```

Computed properties:
For the density of states at the Fermi level, the calculation gives 3.100 states/eV/f.u. As for the space group: No. 123. The uncorrected formation energy comes out at 1.4058 eV per atom.


# SrCrIn2Ga

A geometry-optimized SrCrIn2Ga structure (GGA-PBEsol, Alexandria).

```
data_SrCrIn2Ga
_chemical_formula_sum 'Sr1 Cr1 In2 Ga1'
_cell_length_a 4.7780
_cell_length_b 5.0307
_cell_length_c 5.0307
_cell_angle_alpha 90.00
_cell_angle_beta 90.00
_cell_angle_gamma 90.00
_symmetry_space_group_name_H-M 'P 1'
_symmetry_Int_Tables_number 1
_symmetry_space_group_name_Hall 'P 1'
loop_
_atom_site_label
_atom_site_type_symbol
_atom_site_fract_x
_atom_site_fract_y
_atom_site_fract_z
_atom_site_occupancy
Sr1 Sr 0.5000 0.5000 0.5000 1
Cr1 Cr 0.0000 0.0000 0.0000 1
Ga1 Ga 0.5000 0.0000 0.0000 1
In1 In 0.0000 0.0000 0.5000 1
In2 In 0.0000 0.5000 0.0000 1
```

Computed properties:
For the density of states at the Fermi level, the calculation gives 1.426 states/eV/f.u. As for the space group: No. 123. The formation energy comes out at -0.042 eV/atom.


# Cr3GaIr

A geometry-optimized Cr3GaIr structure (GGA-PBEsol, Alexandria).

```
data_Cr3GaIr
_chemical_formula_sum 'Cr3 Ga1 Ir1'
_cell_length_a 4.6383
_cell_length_b 4.6383
_cell_length_c 4.6383
_cell_angle_alpha 90.00
_cell_angle_beta 90.00
_cell_angle_gamma 90.00
_symmetry_space_group_name_H-M 'P 1'
_symmetry_Int_Tables_number 1
_symmetry_space_group_name_Hall 'P 1'
loop_
_atom_site_label
_atom_site_type_symbol
_atom_site_fract_x
_atom_site_fract_y
_atom_site_fract_z
_atom_site_occupancy
Cr1 Cr 0.0000 0.5000 0.0000 1
Cr2 Cr 0.0000 0.0000 0.5000 1
Cr3 Cr 0.5000 0.0000 0.0000 1
Ir1 Ir 0.0000 0.0000 0.0000 1
Ga1 Ga 0.5000 0.5000 0.5000 1
```

Computed properties:
For the density of states at the Fermi level, the calculation gives 6.545 states/eV/f.u. As for the space group: No. 221. The formation energy comes out at 1.348 eV/atom.


We obtain magnetization values of 0.598; 1.714; 0.151; 1.864 μB per atom for the records listed above, in that order.
We obtain raw total energy values of -5.0610; -5.0768; -4.3198; -7.4297 eV/atom for the records listed above, in that order.